# 1
First-principles (PBE) data for a relaxed structure of MgSbSe3, as listed in the Alexandria database.

POSCAR file:
```
MgSbSe3
1.0
5.012 0.000 0.000
0.000 5.012 0.000
0.000 0.000 5.012
Mg Sb Se
1 1 3
direct
0.000 0.000 0.000 Mg
0.500 0.500 0.500 Sb
0.000 0.000 0.500 Se
0.000 0.500 0.000 Se
0.500 0.000 0.000 Se
```

=====

# 2
First-principles (PBE) data for a relaxed structure of MgSb2Se, as listed in the Alexandria database.

POSCAR file:
```
MgSb2Se
1.0
14.686 0.000 0.000
0.000 3.606 0.000
-0.989 0.000 4.083
Mg Sb Se
2 4 2
direct
0.000 0.000 0.000 Mg
0.500 0.500 0.000 Mg
0.100 0.500 0.586 Sb
0.250 0.500 0.180 Sb
0.600 0.000 0.586 Sb
0.750 0.000 0.180 Sb
0.368 0.000 0.861 Se
0.868 0.500 0.861 Se
```

=====

# 3
First-principles (PBE) data for a relaxed structure of MgSbSe2, as listed in the Alexandria database.

POSCAR file:
```
MgSbSe2
1.0
3.876 0.000 0.000
0.000 3.876 0.000
0.000 0.000 15.829
Mg Sb Se
2 2 4
direct
0.000 0.000 0.000 Mg
0.500 0.500 0.500 Mg
0.000 0.500 0.750 Sb
0.500 0.000 0.250 Sb
0.000 0.000 0.500 Se
0.000 0.500 0.250 Se
0.500 0.000 0.750 Se
0.500 0.500 0.000 Se
```

=====

# 4
First-principles (PBE) data for a relaxed structure of Mg3SbSe, as listed in the Alexandria database.

POSCAR file:
```
Mg3SbSe
1.0
5.377 0.000 0.000
0.000 5.377 0.000
0.000 0.000 5.377
Mg Sb Se
3 1 1
direct
0.000 0.000 0.500 Mg
0.000 0.500 0.000 Mg
0.500 0.000 0.000 Mg
0.000 0.000 0.000 Sb
0.500 0.500 0.500 Se
```

=====

| no. | raw formation energy (meV per atom) | offset from the most stable computed form (meV/atom) | Fermi-level density of states (states/eV/f.u.) |
| --- | --- | --- | --- |
| 1 | 78 | 535 | 3.8 |
| 2 | -172 | 169 | 1.7 |
| 3 | -300 | 241 | 2.3 |
| 4 | 48 | 268 | 3.1 |